[1]
Here is a relaxed structure of LiZnMo from Alexandria via LeMat-Bulk. Energies are from PBE.

Cell lengths 2.722, 2.722, 7.120 Å; angles 90.00, 90.00, 120.00 degrees
Sites, in units of the cell vectors:
Li (0.000, 0.000, 0.000)
Zn (0.333, 0.667, 0.675)
Mo (0.667, 0.333, 0.344)

Properties
- Space-group type: P3m1 (156)
- E_form: 215 meV/atom
- Uncorrected energy: -13.37 eV/cell

[2]
Here is a relaxed structure of LiZnMo2 from Alexandria via LeMat-Bulk. Energies are from PBE.

Cell lengths 2.614, 4.395, 5.144 Å; angles 90.00, 90.00, 90.00 degrees
Sites, in units of the cell vectors:
Li (0.000, 0.000, 0.000)
Zn (0.000, 0.000, 0.500)
Mo (0.500, 0.500, 0.244)
Mo (0.500, 0.500, 0.756)

Properties
- Space-group type: Pmmm (47)
- E_form: 250 meV/atom
- Uncorrected energy: -23.85 eV/cell